# KZnRu2 | Alexandria | PBE | optimized geometry
data_KZnRu2
_chemical_formula_sum 'K1 Zn1 Ru2'
_cell_length_a 4.383
_cell_length_b 4.383
_cell_length_c 7.305
_cell_angle_alpha 85.93
_cell_angle_beta 85.93
_cell_angle_gamma 37.22
_symmetry_space_group_name_H-M 'P 1'
_symmetry_Int_Tables_number 1
loop_
_symmetry_equiv_pos_as_xyz
'x,y,z'
loop_
_atom_site_label
_atom_site_type_symbol
_atom_site_fract_x
_atom_site_fract_y
_atom_site_fract_z
Ru1 Ru 0.014 0.014 0.897
Ru2 Ru 0.753 0.753 0.773
Zn1 Zn 0.484 0.484 0.588
K1 K 0.250 0.250 0.242
# D(E_F): 0.838 states/eV per atom
# ΔH_f (0 K): 2.0 eV/f.u.
# M_tot: 0.000 μB per cell

***

# HfV3W | Alexandria | PBE | optimized geometry
data_HfV3W
_chemical_formula_sum 'Hf1 V3 W1'
_cell_length_a 4.581
_cell_length_b 4.581
_cell_length_c 4.581
_cell_angle_alpha 90.00
_cell_angle_beta 90.00
_cell_angle_gamma 90.00
_symmetry_space_group_name_H-M 'P 1'
_symmetry_Int_Tables_number 1
loop_
_symmetry_equiv_pos_as_xyz
'x,y,z'
loop_
_atom_site_label
_atom_site_type_symbol
_atom_site_fract_x
_atom_site_fract_y
_atom_site_fract_z
W1 W 0.000 0.000 0.000
V1 V 0.500 0.000 0.000
V2 V 0.000 0.000 0.500
V3 V 0.000 0.500 0.000
Hf1 Hf 0.500 0.500 0.500
# D(E_F): 1.195 states/eV per atom
# ΔH_f (0 K): 5.6 eV/f.u.
# M_tot: 0.002 μB per cell
# energy relative to the lowest polymorph listed for this composition: 744.1 meV/atom

***

Which value of M_tot does entry 1 give? 0.000 μB per cell

***

Among the records above, which one has the lowest D(E_F)? KZnRu2

***

Which value of ΔH_f (0 K) does entry 1 give? 2.0 eV/f.u.

***

Look up the M_tot of the first one. 0.000 μB per cell